Entry 1:
HfNpTe2O after structural relaxation. Source: Alexandria via LeMat-Bulk, functional PBE-GGA.

Fermi-level density of states = 8.65 states/eV/f.u.

Unit cell a=3.9123 b=3.9123 c=14.4899 alpha=90.00 beta=90.00 gamma=90.00
Space group P4/nmm (No. 129, origin choice 2)
Unique sites:
Hf  0.2500  0.2500  0.0693 [2 per cell]
Np  0.2500  0.2500  0.5844 [2 per cell]
Te  0.2500  0.2500  0.2962 [2 per cell]
Te  0.2500  0.2500  0.8642 [2 per cell]
O  0.2500  0.7500  0.5000 [2 per cell]

Entry 2:
HfNpTiO6 after structural relaxation. Source: Alexandria via LeMat-Bulk, functional PBE-GGA.

Fermi-level density of states = 12.14 states/eV/f.u.

Unit cell a=5.2758 b=5.2758 c=9.6266 alpha=90.00 beta=90.00 gamma=120.00
Space group P-31c (No. 163)
Unique sites:
Hf  0.3333  0.6667  0.2500 [2 per cell]
Np  0.0000  0.0000  0.0000 [2 per cell]
Ti  0.3333  0.6667  0.7500 [2 per cell]
O  0.0136  0.3557  0.6365 [12 per cell]

Entry 3:
HfNpTlO6 after structural relaxation. Source: Alexandria via LeMat-Bulk, functional PBE-GGA.

Unit cell a=5.6433 b=5.6433 c=12.0602 alpha=90.00 beta=90.00 gamma=120.00
Space group P-31c (No. 163)
Unique sites:
Hf  0.3333  0.6667  0.2500 [2 per cell]
Np  0.3333  0.6667  0.7500 [2 per cell]
Tl  0.0000  0.0000  0.0000 [2 per cell]
O  0.0079  0.3924  0.6589 [12 per cell]

| no. | raw formation energy (eV per atom) | E (eV/atom) | magnetic moment (μB per cell) |
| --- | --- | --- | --- |
| 1 | -1.468 | -8.30 | 7.04 |
| 2 | -3.131 | -9.86 | 6.00 |
| 3 | -2.539 | -8.65 | 0.00 |